This record from the Alexandria database describes a relaxed Zr2BiAs2 crystal. The functional is GGA-PBE.

a b c (Å): 7.856 7.856 3.519
angles (deg): 90.00 90.00 90.00
Fractional positions:
As (0.137, 0.637, 0.500)
As (0.637, 0.863, 0.500)
As (0.863, 0.363, 0.500)
As (0.363, 0.137, 0.500)
Bi (0.000, 0.000, 0.000)
Bi (0.500, 0.500, 0.000)
Zr (0.349, 0.849, 0.000)
Zr (0.849, 0.651, 0.000)
Zr (0.651, 0.151, 0.000)
Zr (0.151, 0.349, 0.000)

Calculated values
SG: P4/mbm (127)
Excess energy over the best structure of this formula in the dataset in meV per atom: 0
Formation energy from the elements in kcal/mol of atoms: -15.78